# BiSbI3

A geometry-optimized BiSbI3 structure (PBE-GGA, the Alexandria database).

Lattice parameters (Å, degrees): 6.1908 6.1908 6.1908 90.00 90.00 90.00
Site moments in Bohr magnetons follow the coordinates.
Fractional coordinates of all 5 atoms:
Sb: 0.5000 0.5000 0.5000  0.96
I: 0.0000 0.0000 0.5000  0.02
I: 0.0000 0.5000 0.0000  0.03
Bi: 0.0000 0.0000 0.0000  0.09
I: 0.5000 0.0000 0.0000  0.04

Calculated values
Final energy ... -2.27 eV/atom
Total magnetic moment ... 2.78 μB per formula unit
Crystal system ... cubic

# Bi2Sb2I

A geometry-optimized Bi2Sb2I structure (PBE-GGA, the Alexandria database).

Lattice parameters (Å, degrees): 5.1299 5.1299 7.9829 71.26 71.26 90.00
Fractional coordinates of all 5 atoms:
Sb: 0.2500 0.7500 0.5000
Bi: 0.6293 0.6293 0.7414
Sb: 0.7500 0.2500 0.5000
I: 0.0000 0.0000 0.0000
Bi: 0.3707 0.3707 0.2586

Calculated values
Final energy ... -3.51 eV/atom
Total magnetic moment ... 0.00 μB per formula unit
Crystal system ... tetragonal

# Bi2SbI

A geometry-optimized Bi2SbI structure (PBE-GGA, the Alexandria database).

Lattice parameters (Å, degrees): 4.2213 4.2213 9.3050 76.89 76.89 60.00
Fractional coordinates of all 4 atoms:
Bi: 0.7403 0.7403 0.7791
I: 0.5000 0.5000 0.5000
Bi: 0.2597 0.2597 0.2209
Sb: 0.0000 0.0000 0.0000

Calculated values
Final energy ... -3.30 eV/atom
Total magnetic moment ... 0.00 μB per formula unit
Crystal system ... trigonal

# Bi2Sb2I

A geometry-optimized Bi2Sb2I structure (PBE-GGA, the Alexandria database).

Lattice parameters (Å, degrees): 9.1058 9.1058 3.9029 90.00 90.00 90.00
Fractional coordinates of all 10 atoms:
Bi: 0.1478 0.3522 0.0000
I: 0.0000 0.0000 0.0000
Sb: 0.3643 0.1357 0.5000
I: 0.5000 0.5000 0.0000
Sb: 0.1357 0.6357 0.5000
Bi: 0.6478 0.1478 0.0000
Sb: 0.8643 0.3643 0.5000
Sb: 0.6357 0.8643 0.5000
Bi: 0.3522 0.8522 0.0000
Bi: 0.8522 0.6478 0.0000

Calculated values
Final energy ... -3.43 eV/atom
Total magnetic moment ... 0.00 μB per formula unit
Crystal system ... tetragonal

# BiSbI2

A geometry-optimized BiSbI2 structure (PBE-GGA, the Alexandria database).

Lattice parameters (Å, degrees): 5.6560 5.6560 5.6560 60.00 60.00 60.00
Fractional coordinates of all 4 atoms:
I: 0.2500 0.2500 0.2500
Bi: 0.5000 0.5000 0.5000
Sb: 0.0000 0.0000 0.0000
I: 0.7500 0.7500 0.7500

Calculated values
Final energy ... -2.42 eV/atom
Total magnetic moment ... 0.00 μB per formula unit
Crystal system ... cubic

# Bi2SbI8

A geometry-optimized Bi2SbI8 structure (PBE-GGA, the Alexandria database).

Lattice parameters (Å, degrees): 8.2577 9.0853 9.0853 64.80 86.86 86.86
Site moments in Bohr magnetons follow the coordinates.
Fractional coordinates of all 11 atoms:
I: 0.6669 0.1247 0.1247  0.00
I: 0.8558 0.6612 0.1220  0.01
I: 0.6479 0.6139 0.6139  0.01
Bi: 0.3243 0.1998 0.1998  0.06
I: 0.3331 0.8753 0.8753  0.00
I: 0.8558 0.1220 0.6612  0.01
I: 0.1442 0.3388 0.8780  0.01
Bi: 0.6757 0.8002 0.8002  0.06
Sb: 0.0000 0.0000 0.0000  0.10
I: 0.3521 0.3861 0.3861  0.01
I: 0.1442 0.8780 0.3388  0.01

Calculated values
Final energy ... -2.44 eV/atom
Total magnetic moment ... 0.48 μB per formula unit
Crystal system ... monoclinic

- Which formula does entry 3 have?
  Bi2SbI

- What is the formula in the third record?
  Bi2SbI

- total magnetic moment of number 5 (BiSbI2)?
  0.00 μB per formula unit